Entry 1:
First-principles (GGA-PBE) data for a geometry-optimized KAlTc2Os structure, as listed in Alexandria via LeMat-Bulk.

Output
The value obtained for the density is 8.55 Mg/m³. For the total energy, the calculation gives -4.2769 eV per atom. For the density of states at the Fermi level, the calculation gives 6.7 states/eV/f.u.

Lattice parameters (Å, degrees): 4.3486 4.3486 4.6435 90.00 90.00 90.00
Closest atoms and distances in Å follow each position.
Space group P4/mmm (No. 123)
Asymmetric unit:
K: 0.0000 0.0000 0.0000  4 Tc 2.17, 2 Al 2.32
Al: 0.0000 0.0000 0.5000  2 K 2.32
Tc: 0.0000 0.5000 0.0000  2 K 2.17
Os: 0.5000 0.5000 0.5000  4 Al 3.07, 8 Tc 3.18

Entry 2:
First-principles (GGA-PBE) data for a geometry-optimized KAl2P structure, as listed in Alexandria via LeMat-Bulk.

Output
The value obtained for the density is 2.03 Mg/m³. For the total energy, the calculation gives -3.5708 eV per atom. For the density of states at the Fermi level, the calculation gives 0.7 states/eV/f.u.

Lattice parameters (Å, degrees): 8.2600 3.6044 6.9650 90.00 101.97 90.00
Closest atoms and distances in Å follow each position.
Space group Cm (No. 8)
Asymmetric unit:
K: 0.0000 0.0000 0.0000  3 P 3.37-3.55, 5 Al 3.50-3.75, 2 K 3.60
Al: 0.2169 0.0000 0.6180  3 Al 2.56-2.75, 2 P 2.62
Al: 0.4723 0.0000 0.4640  3 P 2.53-2.60, 3 Al 2.56-2.75
P: 0.2451 0.5000 0.3530  5 Al 2.53-2.62

Entry 3:
First-principles (GGA-PBE) data for a geometry-optimized KAlP2 structure, as listed in Alexandria via LeMat-Bulk.

Output
The value obtained for the density is 2.28 Mg/m³. For the total energy, the calculation gives -3.8141 eV per atom. For the density of states at the Fermi level, the calculation gives 1.9 states/eV/f.u.

Lattice parameters (Å, degrees): 3.2278 5.8814 9.8151 90.00 90.00 90.00
Closest atoms and distances in Å follow each position.
Space group Imm2 (No. 44)
Asymmetric unit:
K: 0.0000 0.0000 0.0000  2 K 3.23, 8 P 3.37-3.49, 4 Al 3.43-3.54
Al: 0.0000 0.5000 0.1791  2 P 2.65
P: 0.0000 0.0000 0.4646  2 P 2.22
P: 0.0000 0.5000 0.8092  2 P 2.22

Entry 4:
First-principles (GGA-PBE) data for a geometry-optimized KAlP2 structure, as listed in Alexandria via LeMat-Bulk.

Output
The value obtained for the density is 2.23 Mg/m³. For the total energy, the calculation gives -3.9929 eV per atom. For the density of states at the Fermi level, the calculation gives 1.0 states/eV/f.u.

Lattice parameters (Å, degrees): 3.6977 3.9741 6.7108 90.00 105.27 90.00
Closest atoms and distances in Å follow each position.
Space group Pm (No. 6)
Asymmetric unit:
K: 0.0000 0.0000 0.0000  5 P 3.27-3.36
Al: 0.2760 0.5000 0.5748  6 P 2.54-2.76
P: 0.6468 0.5000 0.3057  2 P 2.33, 2 Al 2.54
P: 0.7371 0.0000 0.4946  2 P 2.33

Entry 5:
First-principles (GGA-PBE) data for a geometry-optimized KAl3P structure, as listed in Alexandria via LeMat-Bulk.

Output
The value obtained for the density is 1.97 Mg/m³. For the density of states at the Fermi level, the calculation gives 3.5 states/eV/f.u. Its energy relative to the lowest polymorph listed for this composition is 0.000 eV per atom.

Lattice parameters (Å, degrees): 5.0293 5.0293 5.0293 90.00 90.00 90.00
Closest atoms and distances in Å follow each position.
Space group Pm-3m (No. 221)
Asymmetric unit:
K: 0.0000 0.0000 0.0000  12 Al 3.56
Al: 0.0000 0.5000 0.5000  2 P 2.51
P: 0.5000 0.5000 0.5000  6 Al 2.51

Entry 6:
First-principles (GGA-PBE) data for a geometry-optimized KAlP2 structure, as listed in Alexandria via LeMat-Bulk.

Output
The value obtained for the density is 2.36 Mg/m³. For the total energy, the calculation gives -4.0608 eV per atom. For the density of states at the Fermi level, the calculation gives 1.6 states/eV/f.u.

Lattice parameters (Å, degrees): 7.6534 3.5339 6.8567 90.00 103.84 90.00
Closest atoms and distances in Å follow each position.
Space group C2/m (No. 12)
Asymmetric unit:
K: 0.0000 0.0000 0.0000  6 P 3.28-3.34, 2 K 3.53
Al: 0.0000 0.5000 0.5000  6 P 2.48-2.56
P: 0.2205 0.0000 0.6446  3 Al 2.48-2.56, 2 P 2.77

Entry 7:
First-principles (GGA-PBE) data for a geometry-optimized KAlP2 structure, as listed in Alexandria via LeMat-Bulk.

Output
The value obtained for the density is 2.56 Mg/m³. For the total energy, the calculation gives -3.2618 eV per atom. For the density of states at the Fermi level, the calculation gives 3.8 states/eV/f.u.

Lattice parameters (Å, degrees): 6.9292 6.9292 6.9292 90.00 90.00 90.00
Closest atoms and distances in Å follow each position.
Space group F-43m (No. 216)
Asymmetric unit:
K: 0.0000 0.0000 0.0000  4 P 3.00, 4 Al 3.00
Al: 0.2500 0.2500 0.2500  4 K 3.00, 4 P 3.00
P: 0.0000 0.0000 0.5000  4 Al 3.00, 4 P 3.00
P: 0.2500 0.2500 0.7500  4 K 3.00, 4 P 3.00

Entry 8:
First-principles (GGA-PBE) data for a geometry-optimized KAlP2 structure, as listed in Alexandria via LeMat-Bulk.

Output
The value obtained for the density is 2.20 Mg/m³. For the total energy, the calculation gives -4.2244 eV per atom. For the density of states at the Fermi level, the calculation gives 0.3 states/eV/f.u.

Lattice parameters (Å, degrees): 7.4469 3.9493 6.6258 90.00 96.72 90.00
Closest atoms and distances in Å follow each position.
Space group Cm (No. 8)
Asymmetric unit:
K: 0.0000 0.0000 0.0000  6 P 3.20-3.36
Al: 0.1836 0.5000 0.4766  5 P 2.39-2.62
P: 0.2763 0.0000 0.6642  1 P 2.31, 2 Al 2.39
P: 0.3697 0.0000 0.3444  1 P 2.31, 1 Al 2.40

Entry 9:
First-principles (GGA-PBE) data for a geometry-optimized KAlP structure, as listed in Alexandria via LeMat-Bulk.

Output
The value obtained for the density is 2.07 Mg/m³. For the total energy, the calculation gives -3.0800 eV per atom. For the density of states at the Fermi level, the calculation gives 2.2 states/eV/f.u.

Lattice parameters (Å, degrees): 6.7755 6.7755 6.7755 90.00 90.00 90.00
Closest atoms and distances in Å follow each position.
Space group F-43m (No. 216)
Asymmetric unit:
K: 0.0000 0.0000 0.0000  4 Al 2.93
Al: 0.2500 0.2500 0.2500  4 K 2.93, 4 P 2.93
P: 0.0000 0.0000 0.5000  4 Al 2.93

Entry 10:
First-principles (GGA-PBE) data for a geometry-optimized KAl2P structure, as listed in Alexandria via LeMat-Bulk.

Output
The value obtained for the density is 2.35 Mg/m³. For the total energy, the calculation gives -3.0558 eV per atom. For the density of states at the Fermi level, the calculation gives 2.3 states/eV/f.u.

Lattice parameters (Å, degrees): 4.3686 4.3686 9.1779 90.00 90.00 90.00
Closest atoms and distances in Å follow each position.
Space group I4/mmm (No. 139)
Asymmetric unit:
K: 0.0000 0.0000 0.0000  4 P 3.09, 8 Al 3.17
Al: 0.0000 0.5000 0.2500  4 Al 3.09, 4 K 3.17, 4 P 3.17
P: 0.0000 0.0000 0.5000  4 K 3.09, 8 Al 3.17

Entry 11:
First-principles (GGA-PBE) data for a geometry-optimized KAlP2 structure, as listed in Alexandria via LeMat-Bulk.

Output
The value obtained for the density is 2.59 Mg/m³. For the total energy, the calculation gives -3.2282 eV per atom. For the density of states at the Fermi level, the calculation gives 2.3 states/eV/f.u.

Lattice parameters (Å, degrees): 2.9724 2.9724 32.1785 90.00 90.00 120.00
Closest atoms and distances in Å follow each position.
Space group R3m (No. 160, hexagonal axes)
Asymmetric unit:
K: 0.0000 0.0000 0.0000  6 K 2.97, 3 P 3.16
Al: 0.0000 0.0000 0.2363  3 P 2.60
P: 0.0000 0.0000 0.5091  3 Al 2.60
P: 0.0000 0.0000 0.7492  6 P 2.97, 3 K 3.16

Entry 12:
First-principles (GGA-PBE) data for a geometry-optimized K3Al2P4 structure, as listed in Alexandria via LeMat-Bulk.

Output
The value obtained for the density is 2.15 Mg/m³. For the total energy, the calculation gives -4.0979 eV per atom. For the density of states at the Fermi level, the calculation gives 2.0 states/eV/f.u.

Lattice parameters (Å, degrees): 16.5946 3.9524 7.5733 90.00 113.33 90.00
Closest atoms and distances in Å follow each position.
Space group C2/m (No. 12)
Asymmetric unit:
K: 0.0000 0.0000 0.0000  6 P 3.19-3.40, 2 K 3.51
K: 0.1487 0.0000 0.7745  7 P 3.23-3.52, 2 Al 3.49, 1 K 3.51
Al: 0.1730 0.5000 0.4195  4 P 2.43-2.46
P: 0.0187 0.5000 0.3795  1 P 2.15
P: 0.2039 0.0000 0.2701  3 Al 2.43

Entry 13:
First-principles (GGA-PBE) data for a geometry-optimized KAlP structure, as listed in Alexandria via LeMat-Bulk.

Output
The value obtained for the density is 1.92 Mg/m³. For the total energy, the calculation gives -3.6642 eV per atom. For the density of states at the Fermi level, the calculation gives 0.5 states/eV/f.u.

Lattice parameters (Å, degrees): 3.9327 3.9327 18.7889 90.00 90.00 120.00
Closest atoms and distances in Å follow each position.
Space group R3m (No. 160, hexagonal axes)
Asymmetric unit:
K: 0.0000 0.0000 0.0000  4 Al 3.40-3.65, 4 P 3.46-3.65
Al: 0.0000 0.0000 0.8190  3 P 2.40
P: 0.0000 0.0000 0.1942  3 Al 2.40

Entry 14:
First-principles (GGA-PBE) data for a geometry-optimized KAl4P structure, as listed in Alexandria via LeMat-Bulk.

Output
The value obtained for the density is 2.34 Mg/m³. For the total energy, the calculation gives -3.1757 eV per atom. For the density of states at the Fermi level, the calculation gives 3.7 states/eV/f.u.

Lattice parameters (Å, degrees): 7.9693 7.9693 7.9693 90.00 90.00 90.00
Closest atoms and distances in Å follow each position.
Space group F-43m (No. 216)
Asymmetric unit:
K: 0.0000 0.0000 0.0000  12 Al 3.30, 4 P 3.45
Al: 0.1249 0.1249 0.3751  6 Al 2.82
P: 0.2500 0.2500 0.7500  12 Al 3.30, 4 K 3.45

Entry 15:
First-principles (GGA-PBE) data for a geometry-optimized KAlP2 structure, as listed in Alexandria via LeMat-Bulk.

Output
The value obtained for the density is 1.80 Mg/m³. For the total energy, the calculation gives -4.1757 eV per atom.

Lattice parameters (Å, degrees): 7.9037 7.9037 7.5522 90.00 90.00 90.00
Closest atoms and distances in Å follow each position.
Space group P4_12_12 (No. 92)
Asymmetric unit:
K: 0.2104 0.2104 0.0000  4 P 3.17-3.20
Al: 0.1714 0.1714 0.5000  4 P 2.37-2.40
P: 0.1147 0.8305 0.8938  1 P 2.26, 2 Al 2.37-2.40